Material: Pm7ErPb2
Method: DFT, PBE
State: relaxed

Its density of states at the Fermi level is 38.67 states/eV/cell. Its total energy is -4.264 eV/atom. As for the formation energy: 260 meV/atom. The total magnetic moment is 0.00 μB per formula unit.

It has space group Cmmm (No. 65), with a = 9.347 Å, b = 15.990 Å, c = 5.529 Å, α = 90.00°, β = 90.00° and γ = 90.00°. The inequivalent atoms are Pm at (0.000, 0.000, 0.000), Pm at (0.000, 0.278, 0.500), Pm at (0.181, 0.380, 0.000), Er at (0.000, 0.500, 0.500) and Pb at (0.000, 0.195, 0.000).